## Sm2Ga4Au3 (PBE)

Data for a geometry-optimized Sm2Ga4Au3 structure.

Properties
Uncorrected energy = -4.081 eV/atom
Magnetization = 0.00 μB/cell
Crystal system = orthorhombic
Symmetry = Cmce (64)
Calculated formation energy = -0.594 eV/atom

Cell lengths 8.3493, 8.3493, 7.7995 Å; angles 90.00, 90.00, 138.08 degrees
Last column: nearest neighbours and their distance in Å.
Fractional coordinates of all 18 atoms:
Sm: 0.1081 0.8919 0.9102  8 Ga 3.13-3.48, 4 Au 3.19-3.50
Sm: 0.3919 0.6081 0.4102  8 Ga 3.13-3.48, 4 Au 3.19-3.50
Sm: 0.6081 0.3919 0.5898  8 Ga 3.13-3.48, 4 Au 3.19-3.50
Sm: 0.8919 0.1081 0.0898  8 Ga 3.13-3.48, 4 Au 3.19-3.50
Ga: 0.1759 0.8241 0.5220  5 Au 2.73-2.75
Ga: 0.1894 0.3106 0.7500  3 Au 2.63-2.64
Ga: 0.3106 0.1894 0.2500  3 Au 2.63-2.64
Ga: 0.3241 0.6759 0.0220  5 Au 2.73-2.75
Ga: 0.6759 0.3241 0.9780  5 Au 2.73-2.75
Ga: 0.6894 0.8106 0.7500  3 Au 2.63-2.64
Ga: 0.8106 0.6894 0.2500  3 Au 2.63-2.64
Ga: 0.8241 0.1759 0.4780  5 Au 2.73-2.75
Au: 0.0000 0.0000 0.5000  6 Ga 2.63-2.75
Au: 0.0199 0.4801 0.7500  5 Ga 2.64-2.75
Au: 0.4801 0.0199 0.2500  5 Ga 2.64-2.75
Au: 0.5000 0.5000 0.0000  6 Ga 2.63-2.75
Au: 0.5199 0.9801 0.7500  5 Ga 2.64-2.75
Au: 0.9801 0.5199 0.2500  5 Ga 2.64-2.75


## NdCrOs (PBE)

Data for a geometry-optimized NdCrOs structure.

Properties
Uncorrected energy = -8.447 eV/atom
Magnetization = 0.00 μB/cell
Crystal system = orthorhombic
Symmetry = Cmcm (63)
Calculated formation energy = 0.093 eV/atom

Cell lengths 5.8851, 5.8851, 5.2574 Å; angles 90.00, 90.00, 139.42 degrees
Last column: nearest neighbours and their distance in Å.
Fractional coordinates of all 6 atoms:
Nd: 0.2159 0.7841 0.7500  5 Os 2.95-3.28
Nd: 0.7841 0.2159 0.2500  5 Os 2.95-3.28
Cr: 0.5000 0.5000 0.0000  4 Os 2.49, 2 Cr 2.63
Cr: 0.5000 0.5000 0.5000  4 Os 2.49, 2 Cr 2.63
Os: 0.0512 0.9488 0.2500  4 Cr 2.49
Os: 0.9488 0.0512 0.7500  4 Cr 2.49


## CeHgPb (PBE)

Data for a geometry-optimized CeHgPb structure.

Properties
Uncorrected energy = -3.681 eV/atom
Magnetization = 1.86 μB/cell
Crystal system = hexagonal
Symmetry = P6_3/mmc (194)
Calculated formation energy = -0.367 eV/atom
Distance to the lowest polymorph of the same formula = 0 meV/atom

Cell lengths 5.3574, 5.3574, 6.7774 Å; angles 90.00, 90.00, 120.00 degrees
Last column: nearest neighbours and their distance in Å.
Fractional coordinates of all 6 atoms:
Ce: 0.3333 0.6667 0.2500  5 Hg 3.09-3.39
Ce: 0.6667 0.3333 0.7500  5 Hg 3.09-3.39
Hg: 0.3333 0.6667 0.7500  5 Ce 3.09-3.39
Hg: 0.6667 0.3333 0.2500  5 Ce 3.09-3.39
Pb: 0.0000 0.0000 0.0000  2 Pb 3.39, 6 Hg 3.53, 6 Ce 3.53
Pb: 0.0000 0.0000 0.5000  2 Pb 3.39, 6 Hg 3.53, 6 Ce 3.53


## DyCrP2Rh5 (PBE)

Data for a geometry-optimized DyCrP2Rh5 structure.

Properties
Uncorrected energy = -7.154 eV/atom
Magnetization = 4.22 μB/cell
Crystal system = tetragonal
Symmetry = P4/mmm (123)
Calculated formation energy = -0.287 eV/atom

Cell lengths 4.3317, 4.3317, 9.6448 Å; angles 90.00, 90.00, 90.00 degrees
Last column: nearest neighbours and their distance in Å.
Fractional coordinates of all 9 atoms:
Dy: 0.0000 0.0000 0.0000  12 Rh 2.93-3.06
Cr: 0.5000 0.5000 0.5000  2 P 2.33
P: 0.5000 0.5000 0.2582  5 Rh 2.23-2.49, 1 Cr 2.33
P: 0.5000 0.5000 0.7418  5 Rh 2.23-2.49, 1 Cr 2.33
Rh: 0.0000 0.5000 0.2053  2 P 2.23
Rh: 0.0000 0.5000 0.7947  2 P 2.23
Rh: 0.5000 0.0000 0.2053  2 P 2.23
Rh: 0.5000 0.0000 0.7947  2 P 2.23
Rh: 0.5000 0.5000 0.0000  2 P 2.49


## LiZr3I (PBE)

Data for a geometry-optimized LiZr3I structure.

Properties
Uncorrected energy = -5.099 eV/atom
Magnetization = 0.00 μB/cell
Crystal system = cubic
Symmetry = Pm-3m (221)
E_form (uncorrected) = 0.72 eV/atom
Distance to the lowest polymorph of the same formula = 0 meV/atom

Cell lengths 4.8520, 4.8520, 4.8520 Å; angles 90.00, 90.00, 90.00 degrees
Last column: nearest neighbours and their distance in Å.
Fractional coordinates of all 5 atoms:
Li: 0.0000 0.0000 0.0000  6 Zr 2.43
Zr: 0.0000 0.0000 0.5000  2 Li 2.43
Zr: 0.0000 0.5000 0.0000  2 Li 2.43
Zr: 0.5000 0.0000 0.0000  2 Li 2.43
I: 0.5000 0.5000 0.5000  12 Zr 3.43


## CoGe2Pd (PBE)

Data for a geometry-optimized CoGe2Pd structure.

Properties
Uncorrected energy = -5.183 eV/atom
Magnetization = 0.00 μB/cell
Crystal system = tetragonal
Symmetry = I-42d (122)
Calculated formation energy = 0.200 eV/atom
Distance to the lowest polymorph of the same formula = 362 meV/atom

Cell lengths 6.5018, 6.5018, 6.5018 Å; angles 129.27, 129.27, 74.58 degrees
Last column: nearest neighbours and their distance in Å.
Fractional coordinates of all 8 atoms:
Co: 0.0000 0.0000 0.0000  4 Ge 2.26
Co: 0.7500 0.2500 0.5000  4 Ge 2.26
Ge: 0.0948 0.6250 0.9698  2 Co 2.26, 2 Pd 2.46
Ge: 0.3750 0.3448 0.4698  2 Co 2.26, 2 Pd 2.46
Ge: 0.6552 0.1250 0.0302  2 Co 2.26, 2 Pd 2.46
Ge: 0.8750 0.9052 0.5302  2 Co 2.26, 2 Pd 2.46
Pd: 0.2500 0.7500 0.5000  4 Ge 2.46
Pd: 0.5000 0.5000 0.0000  4 Ge 2.46


## InPb2Cl (PBE)

Data for a geometry-optimized InPb2Cl structure.

Properties
Uncorrected energy = -3.254 eV/atom
Magnetization = 0.00 μB/cell
Crystal system = orthorhombic
Symmetry = Imm2 (44)
E_form (uncorrected) = -0.25 eV/atom
Distance to the lowest polymorph of the same formula = 57 meV/atom

Cell lengths 7.3092, 7.3092, 7.3092 Å; angles 151.74, 138.88, 50.64 degrees
Last column: nearest neighbours and their distance in Å.
Fractional coordinates of all 4 atoms:
In: 0.0000 0.0000 0.0000  6 Pb 3.26-3.37, 2 In 3.57
Pb: 0.2160 0.7160 0.5000  4 Cl 3.13, 2 Pb 3.34, 2 In 3.37
Pb: 0.4300 0.4300 0.0000  4 In 3.26, 4 Pb 3.34-3.57
Cl: 0.7086 0.2086 0.5000  4 Pb 3.13


## KBe2Rh (PBE)

Data for a geometry-optimized KBe2Rh structure.

Properties
Uncorrected energy = -3.173 eV/atom
Magnetization = 0.00 μB/cell
Crystal system = monoclinic
Symmetry = C2/m (12)
Calculated formation energy = 0.802 eV/atom
Distance to the lowest polymorph of the same formula = 876 meV/atom

Cell lengths 4.5822, 4.5822, 2.8157 Å; angles 90.09, 90.09, 90.10 degrees
Last column: nearest neighbours and their distance in Å.
Fractional coordinates of all 4 atoms:
K: 0.0000 0.0000 0.0000  8 Be 2.69, 2 K 2.82
Be: 0.0000 0.5000 0.5000  4 K 2.69, 4 Rh 2.69, 2 Be 2.82
Be: 0.5000 0.0000 0.5000  4 K 2.69, 4 Rh 2.69, 2 Be 2.82
Rh: 0.5000 0.5000 0.0000  8 Be 2.69, 2 Rh 2.82


## Na3PrDy2Se6 (PBE)

Data for a geometry-optimized Na3PrDy2Se6 structure.

Properties
Uncorrected energy = -4.932 eV/atom
Magnetization = 0.00 μB/cell
Crystal system = monoclinic
Symmetry = C2/m (12)
E_form (uncorrected) = -1.69 eV/atom

Cell lengths 7.2819, 7.2819, 7.4220 Å; angles 99.43, 99.43, 120.01 degrees
Last column: nearest neighbours and their distance in Å.
Fractional coordinates of all 12 atoms:
Na: 0.0000 0.0000 0.0000  6 Se 3.01-3.10
Na: 0.3348 0.6652 0.0000  6 Se 3.03-3.10
Na: 0.6652 0.3348 0.0000  6 Se 3.03-3.10
Pr: 0.5000 0.5000 0.5000  6 Se 2.98
Dy: 0.1669 0.8331 0.5000  6 Se 2.89-2.90
Dy: 0.8331 0.1669 0.5000  6 Se 2.89-2.90
Se: 0.0795 0.4225 0.2683  2 Dy 2.89, 1 Pr 2.98, 3 Na 3.03-3.10
Se: 0.2344 0.2344 0.7324  2 Dy 2.90, 1 Pr 2.98, 3 Na 3.01-3.08
Se: 0.4225 0.0795 0.2683  2 Dy 2.89, 1 Pr 2.98, 3 Na 3.03-3.10
Se: 0.5775 0.9205 0.7317  2 Dy 2.89, 1 Pr 2.98, 3 Na 3.03-3.10
Se: 0.7656 0.7656 0.2676  2 Dy 2.90, 1 Pr 2.98, 3 Na 3.01-3.08
Se: 0.9205 0.5775 0.7317  2 Dy 2.89, 1 Pr 2.98, 3 Na 3.03-3.10


## ZnTcPb2 (PBE)

Data for a geometry-optimized ZnTcPb2 structure.

Properties
Uncorrected energy = -4.166 eV/atom
Magnetization = 0.00 μB/cell
Crystal system = monoclinic
Symmetry = C2/m (12)
Calculated formation energy = 0.598 eV/atom

Cell lengths 4.9523, 4.9523, 3.3980 Å; angles 90.24, 90.24, 89.69 degrees
Last column: nearest neighbours and their distance in Å.
Fractional coordinates of all 4 atoms:
Zn: 0.0000 0.0000 0.0000  8 Pb 3.00-3.01
Tc: 0.5000 0.5000 0.0000  8 Pb 3.00-3.01
Pb: 0.0000 0.5000 0.5000  4 Tc 3.00-3.01, 4 Zn 3.00-3.01
Pb: 0.5000 0.0000 0.5000  4 Tc 3.00-3.01, 4 Zn 3.00-3.01


## ZrAlCu (PBE)

Data for a geometry-optimized ZrAlCu structure.

Properties
Uncorrected energy = -5.391 eV/atom
Magnetization = 0.00 μB/cell
Crystal system = orthorhombic
Symmetry = Immm (71)
Calculated formation energy = 0.071 eV/atom

Cell lengths 7.8020, 7.8020, 7.8020 Å; angles 154.74, 147.20, 41.85 degrees
Last column: nearest neighbours and their distance in Å.
Fractional coordinates of all 6 atoms:
Zr: 0.2446 0.2446 0.0000  4 Zr 2.79, 2 Cu 2.81, 2 Al 2.96
Zr: 0.7554 0.7554 0.0000  4 Zr 2.79, 2 Cu 2.81, 2 Al 2.96
Al: 0.4107 0.9107 0.5000  1 Al 2.60, 4 Cu 2.79
Al: 0.5893 0.0893 0.5000  1 Al 2.60, 4 Cu 2.79
Cu: 0.0915 0.5915 0.5000  1 Cu 2.67, 4 Al 2.79, 2 Zr 2.81
Cu: 0.9085 0.4085 0.5000  1 Cu 2.67, 4 Al 2.79, 2 Zr 2.81


## NpFeGe2Rh (PBE)

Data for a geometry-optimized NpFeGe2Rh structure.

Properties
Uncorrected energy = -7.925 eV/atom
Magnetization = 3.43 μB/cell
Crystal system = tetragonal
Symmetry = I-4m2 (119)
Calculated formation energy = -0.327 eV/atom

Cell lengths 5.8791, 5.8791, 5.8791 Å; angles 139.46, 139.46, 58.67 degrees
Last column: nearest neighbours and their distance in Å.
Fractional coordinates of all 5 atoms:
Np: 0.0000 0.0000 0.0000  8 Ge 3.15, 4 Fe 3.27, 4 Rh 3.27
Fe: 0.2500 0.7500 0.5000  4 Ge 2.41
Ge: 0.3755 0.3755 0.0000  2 Fe 2.41, 2 Rh 2.41, 1 Ge 2.55
Ge: 0.6245 0.6245 0.0000  2 Fe 2.41, 2 Rh 2.41, 1 Ge 2.55
Rh: 0.7500 0.2500 0.5000  4 Ge 2.41


## AlP2Se (PBE)

Data for a geometry-optimized AlP2Se structure.

Properties
Uncorrected energy = -4.193 eV/atom
Magnetization = 0.00 μB/cell
Crystal system = trigonal
Symmetry = R-3m (166)
E_form (uncorrected) = 0.32 eV/atom
Distance to the lowest polymorph of the same formula = 482 meV/atom

Cell lengths 10.6074, 10.6074, 10.6074 Å; angles 15.53, 15.53, 15.53 degrees
Last column: nearest neighbours and their distance in Å.
Fractional coordinates of all 4 atoms:
Al: 0.0000 0.0000 0.0000  6 P 2.54
P: 0.2722 0.2722 0.2722  3 Al 2.54
P: 0.7278 0.7278 0.7278  3 Al 2.54
Se: 0.5000 0.5000 0.5000  6 Se 2.87